# 1
{
  "formula": "Na2MgMnNi",
  "functional": "PBE",
  "state": "relaxed",
  "dos_at_fermi_per_ev_atom": 0.83,
  "m_tot_mub_per_atom": 0.9172,
  "delta_e_f_kj_per_mol_atoms": 76.35,
  "cell": [[-0.311, -0.791, -5.078], [-2.461, -4.443, 0.843], [-4.281, 2.352, -0.104]],
  "species": ["Mg", "Na", "Ni", "Na", "Mn"],
  "fractional_positions": [[0.000, 0.000, 0.500], [0.500, 0.000, 0.000], [0.000, 0.000, 0.000], [0.000, 0.500, 0.000], [0.500, 0.500, 0.500]]
}

=====

# 2
{
  "formula": "TmZrSn",
  "functional": "PBE",
  "state": "relaxed",
  "dos_at_fermi_per_ev_atom": 1.48,
  "m_tot_mub_per_atom": 0.0005,
  "delta_e_f_kj_per_mol_atoms": -34.31,
  "cell": [[3.863, 0.000, 0.000], [0.000, 3.863, 0.000], [-1.931, -1.931, 4.876]],
  "species": ["Sn", "Tm", "Zr"],
  "fractional_positions": [[0.673, 0.673, 0.345], [0.003, 0.003, 0.007], [0.324, 0.324, 0.648]]
}